Crystalline RbPrWO5 at its relaxed geometry, computed with PBE with a Hubbard U.

The calculated total energy comes out at -7.0799 eV/atom. Its crystal system is monoclinic. The value obtained for the size of the total moment is 0.000 μB/atom.

Structure (CIF):
```
data_RbPrWO5
_chemical_formula_sum 'Rb4 Pr4 W4 O20'
_cell_length_a 8.076
_cell_length_b 10.686
_cell_length_c 8.509
_cell_angle_alpha 90.00
_cell_angle_beta 114.78
_cell_angle_gamma 90.00
_symmetry_space_group_name_H-M 'C 1 2/c 1'
_symmetry_Int_Tables_number 15
_symmetry_space_group_name_Hall '-C 2yc'
loop_
_atom_site_label
_atom_site_type_symbol
_atom_site_fract_x
_atom_site_fract_y
_atom_site_fract_z
_atom_site_occupancy
Rb1 Rb 0.000 0.179 0.250 1
Pr1 Pr 0.000 0.500 0.000 1
W1 W 0.000 0.184 0.750 1
O1 O 0.000 0.428 0.250 1
O2 O 0.086 0.283 0.626 1
O3 O 0.179 0.083 0.897 1
```